(1)
# ZrTlMo2Cl (GGA-PBEsol, relaxed)
# E_form (uncorrected) = 4.7 eV per formula unit
# Mass density = 8652 kg/m3
# M_tot = 0.00 μB/atom
# Total DFT energy (no corrections) = -6.51 eV per atom
# V = 100.4 Å³ per cell
data_ZrTlMo2Cl
_chemical_formula_sum 'Zr1 Tl1 Mo2 Cl1'
_space_group_name_H-M_alt 'P 4/m m m'
_space_group_IT_number 123
_space_group_name_Hall '-P 4 2'
_cell_length_a 4.3562
_cell_length_b 4.3562
_cell_length_c 5.2889
_cell_angle_alpha 90.00
_cell_angle_beta 90.00
_cell_angle_gamma 90.00
loop_
_atom_site_label
_atom_site_type_symbol
_atom_site_fract_x
_atom_site_fract_y
_atom_site_fract_z
_atom_site_occupancy
Zr1 Zr 0.0000 0.0000 0.0000 1
Tl1 Tl 0.5000 0.5000 0.0000 1
Mo1 Mo 0.0000 0.5000 0.5000 1
Cl1 Cl 0.5000 0.5000 0.5000 1

=====

(2)
# MoWCl4 (GGA-PBEsol, relaxed)
# E_form (uncorrected) = 10.4 eV per formula unit
# Mass density = 6311 kg/m3
# M_tot = 0.05 μB/atom
# Total DFT energy (no corrections) = -3.86 eV per atom
# V = 443.7 Å³ per cell
data_MoWCl4
_chemical_formula_sum 'Mo4 W4 Cl16'
_space_group_name_H-M_alt 'F -4 3 m'
_space_group_IT_number 216
_space_group_name_Hall 'F -4 2 3'
_cell_length_a 7.6272
_cell_length_b 7.6272
_cell_length_c 7.6272
_cell_angle_alpha 90.00
_cell_angle_beta 90.00
_cell_angle_gamma 90.00
loop_
_atom_site_label
_atom_site_type_symbol
_atom_site_fract_x
_atom_site_fract_y
_atom_site_fract_z
_atom_site_occupancy
Mo1 Mo 0.0000 0.0000 0.0000 1
W1 W 0.2500 0.2500 0.2500 1
Cl1 Cl 0.1250 0.1250 0.6250 1

=====

(3)
# MoWCl (GGA-PBEsol, relaxed)
# E_form (uncorrected) = 1.3 eV per formula unit
# Mass density = 10560 kg/m3
# M_tot = 0.00 μB/atom
# Total DFT energy (no corrections) = -8.75 eV per atom
# V = 198.3 Å³ per cell
data_MoWCl
_chemical_formula_sum 'Mo4 W4 Cl4'
_space_group_name_H-M_alt 'F m m 2'
_space_group_IT_number 42
_space_group_name_Hall 'F 2 -2'
_cell_length_a 3.1325
_cell_length_b 4.9289
_cell_length_c 12.8427
_cell_angle_alpha 90.00
_cell_angle_beta 90.00
_cell_angle_gamma 90.00
loop_
_atom_site_label
_atom_site_type_symbol
_atom_site_fract_x
_atom_site_fract_y
_atom_site_fract_z
_atom_site_occupancy
Mo1 Mo 0.0000 0.0000 0.0000 1
W1 W 0.0000 0.0000 0.6485 1
Cl1 Cl 0.0000 0.0000 0.3264 1

=====

(4)
# Mo2WCl (GGA-PBEsol, relaxed)
# E_form (uncorrected) = 1.8 eV per formula unit
# Mass density = 11206 kg/m3
# Relative energy among the computed polymorphs = 0.108 eV/atom
# M_tot = 0.00 μB/atom
# Total DFT energy (no corrections) = -9.39 eV per atom
# V = 60.9 Å³ per cell
data_Mo2WCl
_chemical_formula_sum 'Mo2 W1 Cl1'
_space_group_name_H-M_alt 'P 4 m m'
_space_group_IT_number 99
_cell_length_a 2.9650
_cell_length_b 2.9650
_cell_length_c 6.9303
_cell_angle_alpha 90.00
_cell_angle_beta 90.00
_cell_angle_gamma 90.00
loop_
_space_group_symop_operation_xyz
'x,y,z'
'-y,x,z'
'-x,-y,z'
'y,-x,z'
'-x,y,z'
'y,x,z'
'x,-y,z'
'-y,-x,z'
loop_
_atom_site_label
_atom_site_type_symbol
_atom_site_fract_x
_atom_site_fract_y
_atom_site_fract_z
_atom_site_occupancy
Mo1 Mo 0.0000 0.0000 0.0000 1
Mo2 Mo 0.5000 0.5000 0.2373 1
W1 W 0.0000 0.0000 0.4817 1
Cl1 Cl 0.5000 0.5000 0.7427 1

=====

(5)
# MoW2Cl (GGA-PBEsol, relaxed)
# E_form (uncorrected) = 3.1 eV per formula unit
# Mass density = 13024 kg/m3
# Relative energy among the computed polymorphs = 0.095 eV/atom
# M_tot = 0.00 μB/atom
# Total DFT energy (no corrections) = -9.58 eV per atom
# V = 127.3 Å³ per cell
data_MoW2Cl
_chemical_formula_sum 'Mo2 W4 Cl2'
_space_group_name_H-M_alt 'C 1 m 1'
_space_group_IT_number 8
_cell_length_a 9.5754
_cell_length_b 2.9397
_cell_length_c 4.5227
_cell_angle_alpha 90.00
_cell_angle_beta 91.58
_cell_angle_gamma 90.00
loop_
_space_group_symop_operation_xyz
'x,y,z'
'x,-y,z'
'x+1/2,y+1/2,z'
'x+1/2,-y+1/2,z'
loop_
_atom_site_label
_atom_site_type_symbol
_atom_site_fract_x
_atom_site_fract_y
_atom_site_fract_z
_atom_site_occupancy
Mo1 Mo 0.0000 0.0000 0.0000 1
W1 W 0.2181 0.5000 0.7669 1
W2 W 0.4434 0.0000 0.5340 1
Cl1 Cl 0.2393 0.0000 0.1828 1

=====

(6)
# MoWCl2 (GGA-PBEsol, relaxed)
# E_form (uncorrected) = 1.7 eV per formula unit
# Mass density = 6857 kg/m3
# Relative energy among the computed polymorphs = 0.496 eV/atom
# M_tot = 0.27 μB/atom
# Total DFT energy (no corrections) = -6.96 eV per atom
# V = 169.9 Å³ per cell
data_MoWCl2
_chemical_formula_sum 'Mo2 W2 Cl4'
_space_group_name_H-M_alt 'I m m m'
_space_group_IT_number 71
_space_group_name_Hall '-I 2 2'
_cell_length_a 3.0224
_cell_length_b 4.2953
_cell_length_c 13.0837
_cell_angle_alpha 90.00
_cell_angle_beta 90.00
_cell_angle_gamma 90.00
loop_
_atom_site_label
_atom_site_type_symbol
_atom_site_fract_x
_atom_site_fract_y
_atom_site_fract_z
_atom_site_occupancy
Mo1 Mo 0.0000 0.0000 0.0000 1
W1 W 0.0000 0.0000 0.5000 1
Cl1 Cl 0.0000 0.5000 0.1505 1